Crystalline YTi5 at its relaxed geometry. Source: Alexandria, functional PBE-GGA.

Properties
Its volume is 19.4 Å³ per atom. The density of states at the Fermi level comes out at 1.5805 states/eV/atom. The raw total energy is -89.4 eV per cell.

a = 4.151 Å, b = 13.488 Å, c = 4.166 Å
α = 90.00°, β = 90.00°, γ = 90.00°
Space group Cmmm (No. 65)
Asymmetric unit:
Y: 0.000 0.000 0.000 [2 per cell]
Ti: 0.000 0.177 0.500 [4 per cell]
Ti: 0.000 0.320 0.000 [4 per cell]
Ti: 0.000 0.500 0.500 [2 per cell]

---

Crystalline YTi at its relaxed geometry. Source: Alexandria, functional PBE-GGA.

Properties
Its volume is 34.6 Å³ per atom. The density of states at the Fermi level comes out at 2.2606 states/eV/atom. The raw total energy is -22.5 eV per cell.

a = 5.2608 Å, b = 5.2608 Å, c = 5.7781 Å
α = 90.00°, β = 90.00°, γ = 120.00°
Space group P6_3/mmc (No. 194)
Asymmetric unit:
Y: 0.3333 0.6667 0.2500 [2 per cell]
Ti: 0.3333 0.6667 0.7500 [2 per cell]

---

Crystalline YTi6 at its relaxed geometry. Source: Alexandria, functional PBE-GGA.

Properties
Its volume is 23.8 Å³ per atom. The density of states at the Fermi level comes out at 1.7748 states/eV/atom. The raw total energy is -88.4 eV per cell.

a = 6.929 Å, b = 6.929 Å, c = 6.929 Å
α = 90.00°, β = 90.00°, γ = 90.00°
Space group Im-3m (No. 229)
Asymmetric unit:
Y: 0.000 0.000 0.000 [2 per cell]
Ti: 0.000 0.250 0.500 [12 per cell]

---

Crystalline YTi at its relaxed geometry. Source: Alexandria, functional PBE-GGA.

Properties
Its volume is 30.0 Å³ per atom. The density of states at the Fermi level comes out at 1.6943 states/eV/atom. The raw total energy is -102.5 eV per cell.

a = 12.497 Å, b = 12.497 Å, c = 3.071 Å
α = 90.00°, β = 90.00°, γ = 90.00°
Space group I4/m (No. 87)
Asymmetric unit:
Y: 0.059 0.176 0.000 [8 per cell]
Ti: 0.167 0.706 0.000 [8 per cell]

---

Crystalline YTi at its relaxed geometry. Source: Alexandria, functional PBE-GGA.

Properties
Its volume is 25.1 Å³ per atom. The density of states at the Fermi level comes out at 1.5295 states/eV/atom. The raw total energy is -82.7 eV per cell.

a = 3.391 Å, b = 13.624 Å, c = 6.529 Å
α = 90.00°, β = 90.00°, γ = 90.00°
Space group Imm2 (No. 44)
Asymmetric unit:
Y: 0.000 0.000 0.000 [2 per cell]
Y: 0.000 0.294 0.265 [4 per cell]
Ti: 0.000 0.000 0.567 [2 per cell]
Ti: 0.000 0.400 0.826 [4 per cell]

---

Crystalline YTi at its relaxed geometry. Source: Alexandria, functional PBE-GGA.

Properties
Its volume is 26.6 Å³ per atom. The density of states at the Fermi level comes out at 1.3593 states/eV/atom. The raw total energy is -79.6 eV per cell.

a = 10.9205 Å, b = 10.9205 Å, c = 3.0875 Å
α = 90.00°, β = 90.00°, γ = 120.00°
Space group P6_3/m (No. 176)
Asymmetric unit:
Y: 0.0708 0.7584 0.2500 [6 per cell]
Ti: 0.1210 0.5203 0.2500 [6 per cell]

---

Crystalline YTi at its relaxed geometry. Source: Alexandria, functional PBE-GGA.

Properties
Its volume is 25.2 Å³ per atom. The density of states at the Fermi level comes out at 1.5392 states/eV/atom. The raw total energy is -218.7 eV per cell.

a = 5.605 Å, b = 9.491 Å, c = 15.170 Å
α = 90.00°, β = 90.00°, γ = 90.00°
Space group Fddd (No. 70, origin choice 2)
Asymmetric unit:
Y: 0.125 0.291 0.125 [16 per cell]
Ti: 0.125 0.125 0.553 [16 per cell]

---

Crystalline YTi at its relaxed geometry. Source: Alexandria, functional PBE-GGA.

Properties
Its volume is 38.3 Å³ per atom. The density of states at the Fermi level comes out at 2.4145 states/eV/atom. The raw total energy is -40.4 eV per cell.

a = 6.741 Å, b = 6.741 Å, c = 6.741 Å
α = 90.00°, β = 90.00°, γ = 90.00°
Space group F-43m (No. 216)
Asymmetric unit:
Y: 0.000 0.000 0.000 [4 per cell]
Ti: 0.250 0.250 0.250 [4 per cell]

---

Crystalline Y3Ti at its relaxed geometry. Source: Alexandria, functional PBE-GGA.

Properties
Its volume is 28.4 Å³ per atom. The density of states at the Fermi level comes out at 1.3851 states/eV/atom. The raw total energy is -53.1 eV per cell.

a = 3.496 Å, b = 10.895 Å, c = 5.957 Å
α = 90.00°, β = 90.00°, γ = 90.00°
Space group Imm2 (No. 44)
Asymmetric unit:
Y: 0.000 0.000 0.000 [2 per cell]
Y: 0.000 0.230 0.371 [4 per cell]
Ti: 0.000 0.500 0.030 [2 per cell]

---

Crystalline Y4Ti at its relaxed geometry. Source: Alexandria, functional PBE-GGA.

Properties
Its volume is 32.3 Å³ per atom. The density of states at the Fermi level comes out at 1.3582 states/eV/atom. The raw total energy is -31.5 eV per cell.

a = 5.444 Å, b = 5.444 Å, c = 5.444 Å
α = 90.00°, β = 90.00°, γ = 90.00°
Space group Pm-3m (No. 221)
Asymmetric unit:
Y: 0.000 0.000 0.000 [1 per cell]
Y: 0.000 0.500 0.500 [3 per cell]
Ti: 0.500 0.500 0.500 [1 per cell]

---

Crystalline YTi at its relaxed geometry. Source: Alexandria, functional PBE-GGA.

Properties
Its volume is 24.5 Å³ per atom. The density of states at the Fermi level comes out at 2.3538 states/eV/atom. The raw total energy is -13.6 eV per cell.

a = 3.661 Å, b = 3.661 Å, c = 3.661 Å
α = 90.00°, β = 90.00°, γ = 90.00°
Space group Pm-3m (No. 221)
Asymmetric unit:
Y: 0.000 0.000 0.000 [1 per cell]
Ti: 0.500 0.500 0.500 [1 per cell]

---

Crystalline YTi at its relaxed geometry. Source: Alexandria, functional PBE-GGA.

Properties
Its volume is 25.8 Å³ per atom. The density of states at the Fermi level comes out at 1.1238 states/eV/atom. The raw total energy is -52.0 eV per cell.

a = 5.875 Å, b = 5.875 Å, c = 5.989 Å
α = 90.00°, β = 90.00°, γ = 90.00°
Space group P4_2/mnm (No. 136)
Asymmetric unit:
Y: 0.182 0.182 0.000 [4 per cell]
Ti: 0.160 0.160 0.500 [4 per cell]

---

Crystalline Y3Ti at its relaxed geometry. Source: Alexandria, functional PBE-GGA.

Properties
Its volume is 28.4 Å³ per atom. The density of states at the Fermi level comes out at 1.6779 states/eV/atom. The raw total energy is -26.5 eV per cell.

a = 3.488 Å, b = 5.386 Å, c = 6.036 Å
α = 90.00°, β = 90.00°, γ = 90.00°
Space group Pmm2 (No. 25)
Asymmetric unit:
Y: 0.000 0.000 0.000 [1 per cell]
Y: 0.000 0.500 0.344 [1 per cell]
Y: 0.500 0.500 0.821 [1 per cell]
Ti: 0.500 0.000 0.509 [1 per cell]

---

Crystalline YTi at its relaxed geometry. Source: Alexandria, functional PBE-GGA.

Properties
Its volume is 27.6 Å³ per atom. The density of states at the Fermi level comes out at 1.4869 states/eV/atom. The raw total energy is -49.9 eV per cell.

a = 6.044 Å, b = 6.044 Å, c = 6.044 Å
α = 90.00°, β = 90.00°, γ = 90.00°
Space group Fm-3m (No. 225)
Asymmetric unit:
Y: 0.000 0.000 0.000 [4 per cell]
Ti: 0.000 0.000 0.500 [4 per cell]

---

Crystalline YTi at its relaxed geometry. Source: Alexandria, functional PBE-GGA.

Properties
Its volume is 25.1 Å³ per atom. The density of states at the Fermi level comes out at 1.5374 states/eV/atom. The raw total energy is -83.1 eV per cell.

a = 3.389 Å, b = 5.236 Å, c = 16.967 Å
α = 90.00°, β = 90.00°, γ = 90.00°
Space group Immm (No. 71)
Asymmetric unit:
Y: 0.000 0.000 0.000 [2 per cell]
Y: 0.000 0.500 0.313 [4 per cell]
Ti: 0.000 0.000 0.500 [2 per cell]
Ti: 0.000 0.500 0.125 [4 per cell]

---

Crystalline YTi at its relaxed geometry. Source: Alexandria, functional PBE-GGA.

Properties
Its volume is 25.2 Å³ per atom. The density of states at the Fermi level comes out at 1.5712 states/eV/atom. The raw total energy is -111.6 eV per cell.

a = 10.790 Å, b = 10.790 Å, c = 3.460 Å
α = 90.00°, β = 90.00°, γ = 90.00°
Space group I4/m (No. 87)
Asymmetric unit:
Y: 0.145 0.833 0.000 [8 per cell]
Ti: 0.034 0.368 0.500 [8 per cell]

---

Crystalline YTiZn2 at its relaxed geometry. Source: Alexandria, functional PBE-GGA.

Properties
Its volume is 19.3 Å³ per atom. The density of states at the Fermi level comes out at 0.7247 states/eV/atom. The raw total energy is -17.4 eV per cell.

a = 4.738 Å, b = 4.738 Å, c = 3.444 Å
α = 90.00°, β = 90.00°, γ = 90.00°
Space group P4/mmm (No. 123)
Asymmetric unit:
Y: 0.000 0.000 0.000 [1 per cell]
Ti: 0.500 0.500 0.000 [1 per cell]
Zn: 0.000 0.500 0.500 [2 per cell]

---

Crystalline YTiZn2 at its relaxed geometry. Source: Alexandria, functional PBE-GGA.

Properties
Its volume is 19.3 Å³ per atom. The density of states at the Fermi level comes out at 0.8664 states/eV/atom. The raw total energy is -70.3 eV per cell.

a = 6.756 Å, b = 6.756 Å, c = 6.756 Å
α = 90.00°, β = 90.00°, γ = 90.00°
Space group Fm-3m (No. 225)
Asymmetric unit:
Y: 0.000 0.000 0.000 [4 per cell]
Ti: 0.000 0.000 0.500 [4 per cell]
Zn: 0.250 0.250 0.250 [8 per cell]

---

Crystalline YTi3Zn at its relaxed geometry. Source: Alexandria, functional PBE-GGA.

Properties
Its volume is 22.6 Å³ per atom. The density of states at the Fermi level comes out at 1.9100 states/eV/atom. The raw total energy is -23.8 eV per cell.

a = 4.834 Å, b = 4.834 Å, c = 4.834 Å
α = 90.00°, β = 90.00°, γ = 90.00°
Space group Pm-3m (No. 221)
Asymmetric unit:
Y: 0.000 0.000 0.000 [1 per cell]
Ti: 0.000 0.000 0.500 [3 per cell]
Zn: 0.500 0.500 0.500 [1 per cell]

---

Crystalline YTiZn2 at its relaxed geometry. Source: Alexandria, functional PBE-GGA.

Properties
Its volume is 18.9 Å³ per atom. The density of states at the Fermi level comes out at 0.9768 states/eV/atom. The raw total energy is -17.8 eV per cell.

a = 3.352 Å, b = 3.352 Å, c = 6.745 Å
α = 90.00°, β = 90.00°, γ = 90.00°
Space group P4/mmm (No. 123)
Asymmetric unit:
Y: 0.000 0.000 0.000 [1 per cell]
Ti: 0.000 0.000 0.500 [1 per cell]
Zn: 0.500 0.500 0.292 [2 per cell]